[1]
8
Lattice="-6.377 -0.175 1.571 -3.193 -5.740 0.137 4.480 1.377 4.603" Properties=species:S:1:pos:R:3 comment="PBE-GGA ZnHg7, optimized geometry" volume_a3_per_fu=200.5 crystal_system=cubic final_energy_ev_per_atom=-0.33 spacegroup="Fm-3m, No. 225" magnetic_moment_mub_per_atom=0.000 pbc="T T T"
Hg -1.596 -2.870 0.069
Hg -3.188 -0.087 0.785
Zn 0.000 0.000 0.000
Hg 2.240 0.689 2.302
Hg -2.545 -2.269 3.155
Hg 0.644 -2.181 2.370
Hg -0.948 0.601 3.087
Hg -4.785 -2.957 0.854

***

[2]
4
Lattice="-0.006 -3.086 1.181 2.421 0.991 -2.019 4.640 2.611 6.846" Properties=species:S:1:pos:R:3 comment="PBE-GGA ZnHg, optimized geometry" volume_a3_per_fu=41.0 crystal_system=hexagonal final_energy_ev_per_atom=-0.65 spacegroup="P6_3/mmc, No. 194" magnetic_moment_mub_per_atom=0.000 pbc="T T T"
Hg 0.000 0.000 0.000
Zn 4.283 0.231 5.249
Zn 2.772 0.285 0.759
Hg 2.320 1.306 3.423

***

[3]
6
Lattice="-1.649 1.649 12.465 1.649 -1.649 12.465 1.649 1.649 -12.465" Properties=species:S:1:pos:R:3 comment="PBE-GGA ZnHg2, optimized geometry" volume_a3_per_fu=67.8 crystal_system=tetragonal final_energy_ev_per_atom=-0.51 spacegroup="I4_1/amd, No. 141" magnetic_moment_mub_per_atom=0.000 pbc="T T T"
Zn 0.000 0.000 0.000
Zn 0.000 1.649 6.232
Hg 1.649 0.000 4.402
Hg 0.000 0.000 10.635
Hg 0.000 0.000 14.295
Hg 1.649 0.000 8.063

***

[4]
4
Lattice="3.113 0.013 -0.053 -1.506 4.729 0.107 -1.622 -1.762 5.655" Properties=species:S:1:pos:R:3 comment="PBE-GGA ZnHg, optimized geometry" volume_a3_per_fu=41.7 crystal_system=triclinic final_energy_ev_per_atom=-0.68 spacegroup="P-1, No. 2" magnetic_moment_mub_per_atom=0.000 pbc="T T T"
Hg -0.785 2.768 1.896
Zn 0.777 0.718 0.801
Zn -0.792 2.263 4.908
Hg 0.769 0.213 3.812

***

[5]
8
Lattice="-4.486 -1.051 7.047 -3.319 -7.060 -3.167 2.323 -1.646 1.233" Properties=species:S:1:pos:R:3 comment="PBE-GGA ZnHg, optimized geometry" volume_a3_per_fu=55.0 crystal_system=tetragonal final_energy_ev_per_atom=-0.62 spacegroup="P4_2/mnm, No. 136" magnetic_moment_mub_per_atom=0.000 pbc="T T T"
Zn -3.778 -4.695 0.852
Zn 0.330 -1.687 1.030
Hg -3.085 -3.107 5.567
Zn -4.027 -3.416 3.028
Hg -2.397 -6.649 -0.454
Hg -2.301 -2.391 1.144
Zn -5.813 -8.070 4.084
Hg -5.505 -5.720 2.736

***

[6]
4
Lattice="3.120 0.000 0.000 -1.560 2.702 0.000 0.000 0.000 8.518" Properties=species:S:1:pos:R:3 comment="PBE-GGA Zn3Hg, optimized geometry" volume_a3_per_fu=71.8 crystal_system=hexagonal final_energy_ev_per_atom=-0.91 spacegroup="P-6m2, No. 187" magnetic_moment_mub_per_atom=0.000 pbc="T T T"
Zn 0.000 1.802 2.302
Hg 0.000 0.000 0.000
Zn 0.000 1.802 6.216
Zn 0.000 0.000 4.259